NiAsPdBr2: relaxed, GGA-PBE.

POSCAR file:
```
NiAsPdBr2
1.0
-3.7639 -2.7840 1.7503
2.5738 -4.1498 -1.0658
1.8372 0.0886 4.0915
Pd Br Ni As
1 2 1 1
Cartesian
0.3235 -3.4225 2.3881
-1.8819 -1.3920 0.8752
1.2869 -2.0749 -0.5329
0.0000 0.0000 0.0000
0.9186 0.0443 2.0458
```

Values from the calculation:
Its space group is P4/mmm, No. 123. As for the spin magnetization: 0.00 μB/f.u. The energy relative to the elements, uncorrected comes out at 440.4 meV/atom. Its energy above the lowest structure with this stoichiometry is 0.000 eV per atom. As for the total energy: -16.77 eV for the cell shown. The density of states at the Fermi level is 5.019 states/eV/f.u. For the calculated density, the calculation gives 5.9 g/cm3.

=====

CaSc2Mn: relaxed, GGA-PBE.

POSCAR file:
```
CaSc2Mn
1.0
3.2496 -0.0004 0.0000
0.0005 3.2496 0.0000
0.0000 0.0000 8.8758
Mn Sc Ca
1 2 1
Cartesian
1.6250 1.6246 6.6568
0.0000 0.0000 5.1472
0.0000 0.0000 8.1665
1.6250 1.6246 2.2189
```

Values from the calculation:
Its space group is P4/mmm, No. 123. The formation enthalpy at 0 K comes out at 0.114 eV/atom. As for the spin magnetization: 0.93 μB/f.u. Its energy above the lowest structure with this stoichiometry is 0.000 eV per atom. As for the total energy: -23.38 eV for the cell shown. The density of states at the Fermi level is 5.086 states/eV/f.u. For the calculated density, the calculation gives 3.3 g/cm3.

=====

BaPuGa: relaxed, GGA-PBE.

POSCAR file:
```
BaPuGa
1.0
-1.9947 2.9949 0.9561
-3.7355 -2.5891 0.3164
0.6199 -3.4314 12.0421
Pu Ga Ba
2 2 2
Cartesian
-1.0199 -1.0617 12.0723
-4.0904 -1.9638 1.2423
-3.1333 0.7536 1.9768
-1.9771 -3.7792 11.3379
-2.6230 -3.2243 8.2523
-2.4873 0.1988 5.0624
```

Values from the calculation:
Its space group is Cmcm, No. 63. The formation enthalpy at 0 K comes out at 0.138 eV/atom. As for the spin magnetization: 0.88 μB/f.u. As for the total energy: -37.73 eV for the cell shown. The density of states at the Fermi level is 5.464 states/eV/f.u. For the calculated density, the calculation gives 7.2 g/cm3.